Density functional theory data (PBE-GGA) for a relaxed Ce2Zn4Ag3 crystal.

The structure belongs to space group Cmce (No. 64); the cell edges are 6.012, 15.567 and 7.866 Å and the angles 90.00°, 90.00° and 90.00°. The asymmetric unit holds Ce at (0.000, 0.114, 0.083), Zn at (0.000, 0.176, 0.476), Zn at (0.250, 0.052, 0.750), Ag at (0.000, 0.000, 0.500) and Ag at (0.250, 0.224, 0.750).

Its size of the total moment is 7.91 μB per cell. As for the volume: 20.45 Å³ per atom. The formation energy from the elements comes out at -131 kJ/mol of formula units.